A plane-wave DFT calculation with PBE was carried out for crystalline SrZn3Ga2 at its relaxed geometry.

It has space group C2/m (No. 12), with a = 15.963 Å, b = 4.215 Å, c = 7.887 Å, α = 90.00°, β = 113.89° and γ = 90.00°. The inequivalent atoms are Sr at (0.152, 0.000, 0.073), Zn at (0.034, 0.000, 0.371), Zn at (0.093, 0.500, 0.674), Zn at (0.184, 0.500, 0.446), Ga at (0.021, 0.500, 0.174) and Ga at (0.190, 0.000, 0.685).

***

A plane-wave DFT calculation with PBE was carried out for crystalline Sr8Zn2Ga at its relaxed geometry.

For the distance to the lowest polymorph of the same formula, the calculation gives 0.030 eV per atom.

It has space group Cm (No. 8), with a = 9.833 Å, b = 14.748 Å, c = 6.902 Å, α = 90.00°, β = 109.84° and γ = 90.00°. The inequivalent atoms are Sr at (0.000, 0.000, 0.000), Sr at (0.063, 0.369, 0.804), Sr at (0.145, 0.130, 0.600), Sr at (0.209, 0.500, 0.374), Sr at (0.359, 0.208, 0.193), Zn at (0.349, 0.312, 0.686) and Ga at (0.357, 0.000, 0.998).

***

Number 1: electronic total energy -52.571 eV/cell. Number 2: electronic total energy -39.734 eV/cell.